1.
La2GdMg3Al2Tl | PBE | relaxed

abc: 4.7173 7.6151 7.6151
angles: 119.31 90.00 90.00
Atoms (fractional coordinates):
La  0.0000  0.2158  0.7842
La  0.0000  0.7842  0.2158
Gd  0.0000  0.3547  0.3547
Mg  0.5000  0.0303  0.0303
Mg  0.5000  0.5351  0.7821
Mg  0.5000  0.7821  0.5351
Al  0.5000  0.1228  0.4465
Al  0.5000  0.4465  0.1228
Tl  0.0000  0.7752  0.7752

Calculated values
total magnetization	0.00	μB per formula unit
E_tot	-3.557	eV per atom
symmetry	Amm2, No. 38

2.
LaGdAl2Pt4 | PBE | relaxed

abc: 4.3723 4.3723 9.6832
angles: 90.00 90.00 120.00
Atoms (fractional coordinates):
La  0.0000  0.0000  0.0000
Gd  0.6667  0.3333  0.5000
Al  0.3333  0.6667  0.2583
Al  0.3333  0.6667  0.7417
Pt  0.0000  0.0000  0.3345
Pt  0.0000  0.0000  0.6655
Pt  0.6667  0.3333  0.1864
Pt  0.6667  0.3333  0.8136

Calculated values
total magnetization	0.00	μB per formula unit
E_tot	-6.303	eV per atom
symmetry	P-6m2, No. 187

3.
LaGdAl2Zn2 | PBE | relaxed

abc: 4.5473 4.5473 7.5455
angles: 90.00 90.00 120.00
Atoms (fractional coordinates):
La  0.0000  0.0000  0.0000
Gd  0.0000  0.0000  0.4990
Al  0.3333  0.6667  0.2419
Al  0.6667  0.3333  0.7113
Zn  0.3333  0.6667  0.7643
Zn  0.6667  0.3333  0.3045

Calculated values
total magnetization	0.01	μB per formula unit
E_tot	-3.715	eV per atom
symmetry	P3m1, No. 156

4.
GdLu2Al | PBE | relaxed

abc: 6.7183 11.7208 5.2705
angles: 90.00 90.00 90.00
Atoms (fractional coordinates):
Gd  0.0000  0.1752  0.2500
Gd  0.0000  0.8248  0.7500
Gd  0.5000  0.3248  0.7500
Gd  0.5000  0.6752  0.2500
Lu  0.2395  0.4145  0.2500
Lu  0.2395  0.5855  0.7500
Lu  0.2605  0.0855  0.7500
Lu  0.2605  0.9145  0.2500
Lu  0.7395  0.0855  0.7500
Lu  0.7395  0.9145  0.2500
Lu  0.7605  0.4145  0.2500
Lu  0.7605  0.5855  0.7500
Al  0.0000  0.3366  0.7500
Al  0.0000  0.6634  0.2500
Al  0.5000  0.1634  0.2500
Al  0.5000  0.8366  0.7500

Calculated values
total magnetization	0.02	μB per formula unit
E_tot	-4.557	eV per atom
offset from the most stable computed form	0.00	eV/f.u.
symmetry	Cmcm, No. 63

Among the records above, which one has the lowest E_tot? LaGdAl2Pt4

What is the formula in the second record? LaGdAl2Pt4

Please write out number 1 again, unchanged.
La2GdMg3Al2Tl | PBE | relaxed

abc: 4.7173 7.6151 7.6151
angles: 119.31 90.00 90.00
Atoms (fractional coordinates):
La  0.0000  0.2158  0.7842
La  0.0000  0.7842  0.2158
Gd  0.0000  0.3547  0.3547
Mg  0.5000  0.0303  0.0303
Mg  0.5000  0.5351  0.7821
Mg  0.5000  0.7821  0.5351
Al  0.5000  0.1228  0.4465
Al  0.5000  0.4465  0.1228
Tl  0.0000  0.7752  0.7752

Calculated values
total magnetization	0.00	μB per formula unit
E_tot	-3.557	eV per atom
symmetry	Amm2, No. 38